1.
Entry from Alexandria: an optimized crystal structure of Mn2AsPb (GGA-PBE).

Properties
**Formation energy from the elements**: 0.6266 eV per atom
**Total magnetic moment**: 32.2 Bohr magnetons per cell
**Excess energy over the best structure of this formula in the dataset**: 0.4758 eV per atom

Lattice parameters (Å, degrees): 6.8858 6.8858 6.8858 90.00 90.00 90.00
Space group F-43m (No. 216)
Unique sites:
1 Mn 0.0000 0.0000 0.0000 x4
2 Mn 0.2500 0.2500 0.2500 x4
3 As 0.0000 0.0000 0.5000 x4
4 Pb 0.2500 0.2500 0.7500 x4

2.
Entry from Alexandria: an optimized crystal structure of Rb2MnAsPb (GGA-PBE).

Properties
**Formation energy from the elements**: 0.6545 eV per atom
**Total magnetic moment**: 4.7 Bohr magnetons per cell

Lattice parameters (Å, degrees): 6.4286 6.4286 5.1613 90.00 90.00 90.00
Space group P4/mmm (No. 123)
Unique sites:
1 Rb 0.0000 0.5000 0.0000 x2
2 Mn 0.0000 0.0000 0.0000 x1
3 As 0.5000 0.5000 0.5000 x1
4 Pb 0.0000 0.0000 0.5000 x1

3.
Entry from Alexandria: an optimized crystal structure of MnAsPb2S5 (GGA-PBE).

Properties
**E_tot**: -4.99 eV/atom
**Total magnetic moment**: 19.5 Bohr magnetons per cell

Lattice parameters (Å, degrees): 4.0907 17.5169 12.0303 90.00 90.00 90.00
Space group Cmc2_1 (No. 36)
Unique sites:
1 Mn 0.0000 0.2006 0.0000 x4
2 As 0.0000 0.4422 0.3967 x4
3 Pb 0.0000 0.1295 0.2938 x4
4 Pb 0.0000 0.1450 0.6408 x4
5 S 0.0000 0.0438 0.9880 x4
6 S 0.0000 0.3030 0.6339 x4
7 S 0.0000 0.3195 0.3448 x4
8 S 0.0000 0.3386 0.9764 x4
9 S 0.0000 0.4919 0.7411 x4

4.
Entry from Alexandria: an optimized crystal structure of MnAsPb2Se5 (GGA-PBE).

Properties
**E_tot**: -4.61 eV/atom
**Total magnetic moment**: 19.0 Bohr magnetons per cell

Lattice parameters (Å, degrees): 4.2394 18.3206 12.3457 90.00 90.00 90.00
Space group Cmc2_1 (No. 36)
Unique sites:
1 Mn 0.0000 0.1996 0.0000 x4
2 As 0.0000 0.4423 0.3993 x4
3 Pb 0.0000 0.1272 0.2940 x4
4 Pb 0.0000 0.1422 0.6456 x4
5 Se 0.0000 0.0455 0.0057 x4
6 Se 0.0000 0.3000 0.6380 x4
7 Se 0.0000 0.3163 0.3429 x4
8 Se 0.0000 0.3388 0.9767 x4
9 Se 0.0000 0.4913 0.7327 x4